VASP calculation (PBE) on a relaxed structure of HoTmThZn. Values from VASP.

The structure in Quantum ESPRESSO input format:
```
&SYSTEM
  ibrav = 0, nat = 4, ntyp = 4
/
ATOMIC_SPECIES
Ho 164.93 Ho.upf
Zn 65.41 Zn.upf
Tm 168.93 Tm.upf
Th 232.04 Th.upf
CELL_PARAMETERS angstrom
-3.0694 -0.6184 -1.6441
1.7033 -1.8566 -2.4817
-1.0339 -7.0973 4.5999
ATOMIC_POSITIONS angstrom
Ho -1.4907 -6.7814 1.5303
Zn -0.5876 -4.0334 2.6141
Tm -1.0574 -3.8070 -0.3975
Th -0.0757 -0.5197 0.3368
```

VASP calculation (PBE) on a relaxed structure of Li2YZnPd4. Values from VASP.

The structure in Quantum ESPRESSO input format:
```
&SYSTEM
  ibrav = 0, nat = 8, ntyp = 4
/
ATOMIC_SPECIES
Li 6.94 Li.upf
Pd 106.42 Pd.upf
Zn 65.41 Zn.upf
Y 88.91 Y.upf
CELL_PARAMETERS angstrom
-4.4038 0.5967 -0.1635
-2.6481 -2.2017 2.8136
-1.7737 5.0748 5.8162
ATOMIC_POSITIONS angstrom
Li -2.1959 0.9692 2.2061
Pd -4.6093 -0.1755 2.5533
Zn -4.4128 1.7349 4.2332
Y 0.0000 0.0000 0.0000
Pd -1.9968 2.9049 3.9082
Li -6.6297 2.5006 6.2602
Pd -6.8288 0.5649 4.5582
Pd -4.2163 3.6453 5.9130
```

VASP calculation (PBE) on a relaxed structure of RbTa. Values from VASP.

The structure in Quantum ESPRESSO input format:
```
&SYSTEM
  ibrav = 0, nat = 16, ntyp = 2
/
ATOMIC_SPECIES
Ta 180.95 Ta.upf
Rb 85.47 Rb.upf
CELL_PARAMETERS angstrom
-8.5329 13.5236 2.5299
-12.2954 -8.8314 5.7384
1.1574 0.2068 2.7982
ATOMIC_POSITIONS angstrom
Ta -8.1177 8.6014 4.3681
Rb -8.8419 -5.9884 5.7460
Ta -10.5777 -2.6795 4.5732
Rb -13.2889 -0.3935 5.5257
Rb -7.5394 5.0857 2.7426
Rb -2.0418 3.2843 2.2479
Rb -13.0346 5.5270 4.9830
Ta -4.0844 0.4216 3.3044
Ta -15.5864 4.4774 7.7621
Rb -10.8289 10.8874 5.3206
Rb -17.6290 1.6147 8.8186
Ta -15.0773 2.6643 6.0394
Ta -10.2506 7.3717 3.6951
Ta -11.5531 -3.7024 6.6984
Ta -5.7510 2.0279 2.2289
Rb -7.7936 -0.8348 3.2853
```

Number 1: calculated formation energy -0.169 eV/atom. Number 2: calculated formation energy -0.601 eV/atom. Number 3: calculated formation energy 1.488 eV/atom.